DFT (PBE) results for an optimized crystal structure of Tb2GdSb.

abc: 4.840 4.840 4.755
angles: 90.00 90.00 90.00
Sites, in units of the cell vectors:
Tb 0.000 0.500 0.000
Tb 0.500 0.000 0.000
Gd 0.000 0.000 0.500
Sb 0.500 0.500 0.500

Values from the calculation:
- DOS at the Fermi energy (states/eV/atom) = 1.08
- M_tot (Bohr magnetons per cell) = 7.53
- ΔE to the lowest computed polymorph (meV per atom) = 0
- formation energy (no corrections) (eV per atom) = -0.509
- SG = P4/mmm